1.
This record from Alexandria describes a crystal of PAuSeS2 relaxed with PBEsol. The functional is meta-GGA SCAN.

Lattice parameters (Å, degrees): 4.6835 4.6835 4.8291 90.00 90.00 90.00
Last column: nearest neighbours and their distance in Å.
Sites, in units of the cell vectors:
S 0.0000 0.5000 0.0000  2 Se 2.34
S 0.5000 0.0000 0.0000  2 Se 2.34
Au 0.0000 0.0000 0.5000  2 Se 2.41
Se 0.0000 0.0000 0.0000  4 S 2.34, 2 Au 2.41
P 0.5000 0.5000 0.5000  4 Au 3.31, 8 S 3.36

Computed properties:
formation energy (no corrections)	1.1589	eV/atom



2.
This record from Alexandria describes a crystal of SnPAuS2 relaxed with PBEsol. The functional is meta-GGA SCAN.

Lattice parameters (Å, degrees): 4.5871 4.8926 4.8926 90.00 90.00 90.00
Last column: nearest neighbours and their distance in Å.
Sites, in units of the cell vectors:
P 0.5000 0.0000 0.0000  2 Au 2.29
S 0.0000 0.0000 0.5000  2 Au 2.45
S 0.0000 0.5000 0.0000  2 Au 2.45
Au 0.0000 0.0000 0.0000  2 P 2.29, 4 S 2.45
Sn 0.5000 0.5000 0.5000  8 S 3.35, 4 P 3.46

Computed properties:
formation energy (no corrections)	0.5892	eV/atom



3.
This record from Alexandria describes a crystal of TcPAuS2 relaxed with PBEsol. The functional is meta-GGA SCAN.

Lattice parameters (Å, degrees): 4.4356 4.4356 4.7936 90.00 90.00 90.00
Last column: nearest neighbours and their distance in Å.
Sites, in units of the cell vectors:
S 0.5000 0.0000 0.0000  2 Tc 2.22
S 0.0000 0.5000 0.0000  2 Tc 2.22
P 0.0000 0.0000 0.5000  2 Tc 2.40
Tc 0.0000 0.0000 0.0000  4 S 2.22, 2 P 2.40
Au 0.5000 0.5000 0.5000  4 P 3.14, 8 S 3.27

Computed properties:
formation energy (no corrections)	0.5954	eV/atom



no.,V (Å³/f.u.)
1,106
2,110
3,94